Material: CsP2PtSe8
Method: DFT, PBE
State: relaxed

The value obtained for the volume is 360.6 Å³/f.u. The formation energy without anion corrections is -0.219 eV/atom. The uncorrected energy is -48.22 eV for the cell shown.

Cell lengths 6.003, 6.003, 12.061 Å; angles 75.59, 75.59, 60.00 degrees
Positions (direct):
1 Se 0.088 0.356 0.864
2 Se 0.308 0.912 0.136
3 Se 0.795 0.795 0.616
4 Se 0.356 0.692 0.864
5 Se 0.912 0.644 0.136
6 Se 0.692 0.088 0.864
7 Se 0.644 0.308 0.136
8 Se 0.205 0.205 0.384
9 Pt 0.000 0.000 0.000
10 P 0.732 0.732 0.803
11 P 0.268 0.268 0.197
12 Cs 0.500 0.500 0.500

=====

Material: DySi2Ni10
Method: DFT, PBE
State: relaxed

The value obtained for the volume is 156.3 Å³/f.u. The value obtained for the relative energy among the computed polymorphs is 0 meV per atom. The formation energy without anion corrections is -0.442 eV/atom. The uncorrected energy is -158.01 eV for the cell shown.

Cell lengths 8.176, 8.176, 4.677 Å; angles 90.00, 90.00, 90.00 degrees
Positions (direct):
1 Si 0.750 0.250 0.500
2 Si 0.250 0.750 0.500
3 Si 0.750 0.750 0.500
4 Si 0.250 0.250 0.500
5 Ni 0.500 0.647 0.761
6 Ni 0.353 0.500 0.239
7 Ni 0.250 0.750 0.000
8 Ni 0.250 0.250 0.000
9 Ni 0.224 0.500 0.728
10 Ni 0.000 0.276 0.728
11 Ni 0.724 0.000 0.272
12 Ni 0.500 0.776 0.272
13 Ni 0.000 0.853 0.239
14 Ni 0.500 0.224 0.272
15 Ni 0.750 0.750 0.000
16 Ni 0.276 0.000 0.272
17 Ni 0.000 0.724 0.728
18 Ni 0.853 0.000 0.761
19 Ni 0.776 0.500 0.728
20 Ni 0.647 0.500 0.239
21 Ni 0.000 0.147 0.239
22 Ni 0.500 0.353 0.761
23 Ni 0.147 0.000 0.761
24 Ni 0.750 0.250 0.000
25 Dy 0.500 0.000 0.780
26 Dy 0.000 0.500 0.220

=====

Material: SrLiGaAs2
Method: DFT, PBE
State: relaxed

The value obtained for the volume is 117.7 Å³/f.u. The calculation puts the formation energy at -757 meV per atom. The uncorrected energy is -39.42 eV for the cell shown.

Cell lengths 4.203, 7.068, 8.622 Å; angles 79.45, 75.89, 72.70 degrees
Positions (direct):
1 Li 0.644 0.636 0.075
2 Li 0.356 0.364 0.925
3 As 0.167 0.749 0.918
4 As 0.833 0.251 0.082
5 As 0.562 0.231 0.646
6 As 0.438 0.769 0.354
7 Sr 0.195 0.256 0.353
8 Sr 0.805 0.744 0.647
9 Ga 0.962 0.888 0.188
10 Ga 0.038 0.112 0.812

=====

Material: CaAl2Hg
Method: DFT, PBE
State: relaxed

The value obtained for the volume is 91.0 Å³/f.u. The calculation puts the formation energy at 6 meV per atom. The uncorrected energy is -9.76 eV for the cell shown.

Cell lengths 5.398, 6.092, 3.206 Å; angles 76.25, 86.71, 115.34 degrees
Positions (direct):
1 Hg 0.500 0.500 0.000
2 Al 0.500 0.000 0.500
3 Al 0.000 0.000 0.000
4 Ca 0.000 0.500 0.500

=====

Material: LiPuSiPd
Method: DFT, PBE
State: relaxed

The value obtained for the volume is 69.4 Å³/f.u. The formation energy without anion corrections is -0.298 eV/atom. The uncorrected energy is -28.05 eV for the cell shown.

Cell lengths 4.613, 4.613, 4.613 Å; angles 60.00, 60.00, 60.00 degrees
Last column: magnetic moment on the atom in μB.
Positions (direct):
1 Pd 0.750 0.750 0.750  -0.04
2 Pu 0.250 0.250 0.250  5.12
3 Li 0.500 0.500 0.500  0.03
4 Si 0.000 0.000 0.000  -0.05

=====

Material: MgAgAu2
Method: DFT, PBE
State: relaxed

The value obtained for the volume is 71.4 Å³/f.u. The calculation puts the formation energy at -348 meV per atom. The uncorrected energy is -12.39 eV for the cell shown.

Cell lengths 5.114, 5.114, 5.114 Å; angles 132.47, 132.46, 69.49 degrees
Positions (direct):
1 Au 0.000 0.000 0.000
2 Au 0.250 0.750 0.500
3 Ag 0.750 0.250 0.500
4 Mg 0.500 0.500 0.000

=====

Material: Pu5Si4Pd
Method: DFT, PBE
State: relaxed

The value obtained for the volume is 199.7 Å³/f.u. The formation energy without anion corrections is -0.404 eV/atom. The uncorrected energy is -102.59 eV for the cell shown.

Cell lengths 3.755, 3.755, 14.165 Å; angles 90.00, 90.00, 90.00 degrees
Last column: magnetic moment on the atom in μB.
Positions (direct):
1 Pu 0.500 0.500 0.294  4.73
2 Pu 0.500 0.500 0.500  5.29
3 Pu 0.500 0.500 0.886  -4.77
4 Pu 0.500 0.500 0.706  4.73
5 Pu 0.500 0.500 0.114  -4.77
6 Si 0.000 0.000 0.796  0.01
7 Si 0.000 0.000 0.387  -0.11
8 Si 0.000 0.000 0.204  0.01
9 Si 0.000 0.000 0.613  -0.11
10 Pd 0.000 0.000 0.000  0.03

=====

Material: RbCeI5
Method: DFT, PBE
State: relaxed

The value obtained for the volume is 369.8 Å³/f.u. The formation energy without anion corrections is -1.220 eV/atom. The uncorrected energy is -46.38 eV for the cell shown.

Cell lengths 8.437, 8.437, 12.402 Å; angles 93.92, 109.90, 113.53 degrees
Positions (direct):
1 Rb 0.720 0.470 0.250
2 Rb 0.280 0.530 0.750
3 I 0.785 0.608 0.981
4 I 0.215 0.392 0.019
5 I 0.873 0.196 0.481
6 I 0.457 0.657 0.384
7 I 0.773 0.073 0.116
8 I 0.127 0.804 0.519
9 I 0.227 0.927 0.884
10 I 0.543 0.343 0.616
11 I 0.698 0.948 0.750
12 I 0.302 0.052 0.250
13 Ce 0.000 0.000 0.000
14 Ce 0.500 0.000 0.500